This record from Alexandria via LeMat-Bulk describes a relaxed structure of MnSi2H. The functional is PBE.

Geometry as CIF:
```
data_MnSi2H
_chemical_formula_sum 'Mn4 Si8 H4'
_cell_length_a 4.321
_cell_length_b 4.321
_cell_length_c 10.084
_cell_angle_alpha 90.00
_cell_angle_beta 90.00
_cell_angle_gamma 90.00
_symmetry_space_group_name_H-M 'I -4 2 d'
_symmetry_Int_Tables_number 122
_symmetry_space_group_name_Hall 'I -4 2bw'
loop_
_atom_site_label
_atom_site_type_symbol
_atom_site_fract_x
_atom_site_fract_y
_atom_site_fract_z
_atom_site_occupancy
Mn1 Mn 0.000 0.000 0.000 1
Si1 Si 0.128 0.250 0.625 1
H1 H 0.000 0.000 0.500 1
```

Values from the calculation:
Final energy: -5.179 eV per atom
Magnetic moment: 0.00 Bohr magnetons per cell